# 1
A relaxed structure of La4Y5Er. Source: the Alexandria database, functional PBE.

Its size of the total moment is 0.0000 μB per atom. For the formation energy from the elements, the calculation gives 0.179 eV/atom. The calculation puts the uncorrected energy at -109.6 eV/cell.

Cell lengths 10.8729, 10.8729, 5.7692 Å; angles 90.00, 90.00, 90.00 degrees
Space group P4/nmm (No. 129, origin choice 2)
Asymmetric unit:
La (0.0448, 0.7500, 0.1213) (multiplicity 8)
Y (0.0913, 0.0913, 0.3502) (multiplicity 8)
Y (0.2500, 0.7500, 0.5000) (multiplicity 2)
Er (0.2500, 0.2500, 0.8862) (multiplicity 2)

# 2
A relaxed structure of Pr7Tl2Bi2. Source: the Alexandria database, functional PBE.

Its size of the total moment is 0.0000 μB per atom. For the formation energy from the elements, the calculation gives -0.182 eV/atom. The calculation puts the uncorrected energy at -95.9 eV/cell.

Cell lengths 9.6352, 11.6309, 7.2672 Å; angles 90.00, 90.00, 90.00 degrees
Space group Cmmm (No. 65)
Asymmetric unit:
Pr (0.0000, 0.0000, 0.0000) (multiplicity 2)
Pr (0.0000, 0.5000, 0.2586) (multiplicity 4)
Pr (0.2500, 0.2500, 0.2768) (multiplicity 8)
Tl (0.0000, 0.2737, 0.0000) (multiplicity 4)
Bi (0.1883, 0.0000, 0.5000) (multiplicity 4)

# 3
A relaxed structure of Th6SnTe3Ir2. Source: the Alexandria database, functional PBE.

Its size of the total moment is 0.0000 μB per atom. The calculation puts the uncorrected formation energy at -1005 meV per atom. The calculation puts the uncorrected energy at -175.5 eV/cell.

Cell lengths 19.4391, 4.2794, 9.1921 Å; angles 90.00, 105.62, 90.00 degrees
Space group C2/m (No. 12)
Asymmetric unit:
Th (0.0181, 0.0000, 0.2564) (multiplicity 4)
Th (0.1696, 0.5000, 0.1242) (multiplicity 4)
Th (0.1780, 0.5000, 0.5573) (multiplicity 4)
Sn (0.0000, 0.5000, 0.0000) (multiplicity 2)
Te (0.0000, 0.5000, 0.5000) (multiplicity 2)
Te (0.1576, 0.0000, 0.8350) (multiplicity 4)
Ir (0.1703, 0.0000, 0.3378) (multiplicity 4)

# 4
A relaxed structure of ErHf2S6. Source: the Alexandria database, functional PBE.

Its size of the total moment is 0.0000 μB per atom. The calculation puts the uncorrected formation energy at -1447 meV per atom. The calculation puts the uncorrected energy at -124.5 eV/cell.

Cell lengths 6.1375, 6.1375, 11.4697 Å; angles 90.00, 90.00, 90.00 degrees
Space group P4_2/mnm (No. 136)
Asymmetric unit:
Er (0.0000, 0.0000, 0.0000) (multiplicity 2)
Hf (0.0000, 0.0000, 0.3351) (multiplicity 4)
S (0.1910, 0.1910, 0.5000) (multiplicity 4)
S (0.2048, 0.2048, 0.1779) (multiplicity 8)